(1)
First-principles (PBE) data for a geometry-optimized TcN structure, as listed in Alexandria.

The calculation puts the total magnetization at 0.00 μB per formula unit. Its theoretical density is 8.4 g/cm3. The calculated volume is 66.6 Å³ per cell. The value obtained for the energy above the most stable polymorph in this dataset is 0.000 eV/atom.

The structure belongs to space group Pm-3m (No. 221); the cell edges are 4.0539, 4.0539 and 4.0539 Å and the angles 90.00°, 90.00° and 90.00°. The inequivalent atoms are Tc at (0.0000, 0.0000, 0.5000) and N at (0.0000, 0.5000, 0.5000).

(2)
First-principles (PBE) data for a geometry-optimized Tl2CrCl structure, as listed in Alexandria.

The calculation puts the total magnetization at 0.00 μB per formula unit. Its theoretical density is 7.7 g/cm3. The calculated volume is 214.0 Å³ per cell. The value obtained for the energy above the most stable polymorph in this dataset is 0.092 eV/atom.

The structure belongs to space group P-1 (No. 2); the cell edges are 5.5637, 6.2910 and 6.6490 Å and the angles 89.27°, 68.18° and 82.41°. The inequivalent atoms are Tl at (0.0115, 0.3433, 0.1676), Tl at (0.3780, 0.2386, 0.5162), Cr at (0.1035, 0.8692, 0.4551) and Cl at (0.3418, 0.7812, 0.0955).

(3)
First-principles (PBE) data for a geometry-optimized GdSiH structure, as listed in Alexandria.

The calculation puts the total magnetization at 7.47 μB per formula unit. Its theoretical density is 6.3 g/cm3. The calculated volume is 196.9 Å³ per cell. The value obtained for the total energy is -95.28 eV per cell.

The structure belongs to space group Cmcm (No. 63); the cell edges are 3.4571, 16.0967 and 3.5378 Å and the angles 90.00°, 90.00° and 90.00°. The inequivalent atoms are Gd at (0.0000, 0.1018, 0.2500), Si at (0.0000, 0.2489, 0.7500) and H at (0.0000, 0.4337, 0.2500).

(4)
First-principles (PBE) data for a geometry-optimized Na2Li8Pb structure, as listed in Alexandria.

The calculation puts the total magnetization at 0.00 μB per formula unit. Its theoretical density is 2.0 g/cm3. The energy relative to the elements comes out at -0.035 eV per atom. The calculated volume is 511.5 Å³ per cell.

The structure belongs to space group C2/m (No. 12); the cell edges are 7.7750, 15.1272 and 4.9022 Å and the angles 90.00°, 117.49° and 90.00°. The inequivalent atoms are Na at (0.0000, 0.1924, 0.0000), Li at (0.0000, 0.3129, 0.5000), Li at (0.1057, 0.0000, 0.3064), Li at (0.2011, 0.4065, 0.1419) and Pb at (0.0000, 0.5000, 0.5000).

(5)
First-principles (PBE) data for a geometry-optimized BaMn2In structure, as listed in Alexandria.

The calculation puts the total magnetization at 0.38 μB per formula unit. Its theoretical density is 5.4 g/cm3. The energy relative to the elements comes out at 0.161 eV per atom. The calculated volume is 331.1 Å³ per cell.

The structure belongs to space group R3m (No. 160, hexagonal axes); the cell edges are 4.5415, 4.5415 and 18.5387 Å and the angles 90.00°, 90.00° and 120.00°. The inequivalent atoms are Ba at (0.0000, 0.0000, 0.0000), Mn at (0.0000, 0.0000, 0.1948), Mn at (0.0000, 0.0000, 0.5207) and In at (0.0000, 0.0000, 0.8066).

(6)
First-principles (PBE) data for a geometry-optimized TcSbTe2N structure, as listed in Alexandria.

The calculation puts the total magnetization at 3.80 μB per formula unit. Its theoretical density is 6.2 g/cm3. The calculated volume is 130.7 Å³ per cell. The value obtained for the energy above the most stable polymorph in this dataset is 1.123 eV/atom.

The structure belongs to space group P4/mmm (No. 123); the cell edges are 5.8008, 5.8008 and 3.8829 Å and the angles 90.00°, 90.00° and 90.00°. The inequivalent atoms are Tc at (0.0000, 0.0000, 0.0000), Sb at (0.5000, 0.5000, 0.5000), Te at (0.0000, 0.5000, 0.5000) and N at (0.5000, 0.5000, 0.0000).

(7)
First-principles (PBE) data for a geometry-optimized ZnGaFe structure, as listed in Alexandria.

The calculation puts the total magnetization at 2.34 μB per formula unit. Its theoretical density is 7.6 g/cm3. The energy relative to the elements comes out at 0.041 eV per atom. The calculated volume is 83.8 Å³ per cell.

The structure belongs to space group I4mm (No. 107); the cell edges are 2.6654, 2.6654 and 11.7901 Å and the angles 90.00°, 90.00° and 90.00°. The inequivalent atoms are Zn at (0.0000, 0.0000, 0.0000), Ga at (0.0000, 0.0000, 0.3122) and Fe at (0.0000, 0.0000, 0.6562).

(8)
First-principles (PBE) data for a geometry-optimized Ba2SrCu2 structure, as listed in Alexandria.

The calculation puts the total magnetization at 0.00 μB per formula unit. Its theoretical density is 4.5 g/cm3. The energy relative to the elements comes out at 0.163 eV per atom. The calculated volume is 364.4 Å³ per cell. The value obtained for the energy above the most stable polymorph in this dataset is 0.166 eV/atom.

The structure belongs to space group I4/mmm (No. 139); the cell edges are 5.2321, 5.2321 and 13.3132 Å and the angles 90.00°, 90.00° and 90.00°. The inequivalent atoms are Ba at (0.0000, 0.5000, 0.2500), Sr at (0.0000, 0.0000, 0.0000) and Cu at (0.0000, 0.0000, 0.4087).